No. 1
The following is a PBE calculation of Sm12Ho2In after structural relaxation, from Alexandria via LeMat-Bulk.

Summary:
volume	1010.0	Å³/cell
ΔE_f	1.44	eV/f.u.
M_tot	0.00	μB/f.u.
crystal system	orthorhombic

Cell: 6.774 6.774 24.376 Å, 90.00 90.00 115.44°
Fractional positions:
Sm: 0.001 0.501 0.121
Sm: 0.001 0.999 0.928
Sm: 0.019 0.519 0.588
Sm: 0.024 0.976 0.439
Sm: 0.250 0.250 0.195
Sm: 0.250 0.250 0.323
Sm: 0.250 0.250 0.677
Sm: 0.250 0.250 0.805
Sm: 0.476 0.524 0.439
Sm: 0.481 0.981 0.588
Sm: 0.499 0.501 0.928
Sm: 0.499 0.999 0.121
Sm: 0.501 0.001 0.879
Sm: 0.501 0.499 0.072
Sm: 0.519 0.019 0.412
Sm: 0.524 0.476 0.561
Sm: 0.750 0.750 0.195
Sm: 0.750 0.750 0.323
Sm: 0.750 0.750 0.677
Sm: 0.750 0.750 0.805
Sm: 0.976 0.024 0.561
Sm: 0.981 0.481 0.412
Sm: 0.999 0.001 0.072
Sm: 0.999 0.499 0.879
Ho: 0.250 0.750 0.265
Ho: 0.250 0.750 0.739
Ho: 0.750 0.250 0.261
Ho: 0.750 0.250 0.735
In: 0.250 0.750 0.000
In: 0.750 0.250 0.000


No. 2
The following is a PBE calculation of Sm4Ho5In after structural relaxation, from Alexandria via LeMat-Bulk.

Summary:
volume	313.1	Å³/cell
ΔE_f	-0.82	eV/f.u.
M_tot	0.00	μB/f.u.
polymorph energy (0 for the lowest one)	0.0	meV/atom
crystal system	tetragonal

Cell: 3.579 3.579 24.438 Å, 90.00 90.00 90.00°
Fractional positions:
Sm: 0.000 0.000 0.103
Sm: 0.000 0.000 0.311
Sm: 0.000 0.000 0.689
Sm: 0.000 0.000 0.897
Ho: 0.500 0.500 0.000
Ho: 0.500 0.500 0.206
Ho: 0.500 0.500 0.415
Ho: 0.500 0.500 0.585
Ho: 0.500 0.500 0.794
In: 0.000 0.000 0.500


No. 3
The following is a PBE calculation of SmHoIn after structural relaxation, from Alexandria via LeMat-Bulk.

Summary:
volume	88.3	Å³/cell
ΔE_f	-0.91	eV/f.u.
M_tot	0.00	μB/f.u.
polymorph energy (0 for the lowest one)	0.0	meV/atom
crystal system	tetragonal

Cell: 7.357 7.357 7.357 Å, 151.88 151.88 40.19°
Fractional positions:
Sm: 0.000 0.000 0.000
Ho: 0.690 0.690 0.000
In: 0.341 0.341 0.000


No. 4
The following is a PBE calculation of Sm7Ho3In after structural relaxation, from Alexandria via LeMat-Bulk.

Summary:
volume	367.6	Å³/cell
ΔE_f	1.21	eV/f.u.
M_tot	0.00	μB/f.u.
crystal system	trigonal

Cell: 7.041 7.041 8.562 Å, 90.00 90.00 120.00°
Fractional positions:
Sm: 0.000 0.000 0.000
Sm: 0.004 0.502 0.991
Sm: 0.328 0.164 0.661
Sm: 0.498 0.502 0.991
Sm: 0.498 0.996 0.991
Sm: 0.836 0.164 0.661
Sm: 0.836 0.672 0.661
Ho: 0.166 0.333 0.329
Ho: 0.166 0.834 0.329
Ho: 0.667 0.834 0.329
In: 0.333 0.667 0.653


No. 5
The following is a PBE calculation of Sm6Ho3In after structural relaxation, from Alexandria via LeMat-Bulk.

Summary:
volume	640.8	Å³/cell
ΔE_f	-0.09	eV/f.u.
M_tot	0.00	μB/f.u.
polymorph energy (0 for the lowest one)	0.0	meV/atom
crystal system	monoclinic

Cell: 12.876 3.522 14.368 Å, 90.00 100.50 90.00°
Fractional positions:
Sm: 0.010 0.250 0.309
Sm: 0.159 0.250 0.884
Sm: 0.252 0.750 0.304
Sm: 0.271 0.750 0.714
Sm: 0.311 0.750 0.076
Sm: 0.388 0.250 0.534
Sm: 0.612 0.750 0.466
Sm: 0.689 0.250 0.924
Sm: 0.729 0.250 0.286
Sm: 0.748 0.250 0.696
Sm: 0.841 0.750 0.116
Sm: 0.990 0.750 0.691
Ho: 0.079 0.250 0.097
Ho: 0.129 0.750 0.501
Ho: 0.428 0.250 0.894
Ho: 0.572 0.750 0.106
Ho: 0.871 0.250 0.499
Ho: 0.921 0.750 0.903
In: 0.468 0.250 0.273
In: 0.532 0.750 0.727


No. 6
The following is a PBE calculation of Sm4Ho9In11 after structural relaxation, from Alexandria via LeMat-Bulk.

Summary:
volume	651.1	Å³/cell
ΔE_f	-9.46	eV/f.u.
M_tot	0.00	μB/f.u.
crystal system	orthorhombic

Cell: 14.164 14.164 3.483 Å, 90.00 90.00 111.28°
Fractional positions:
Sm: 0.093 0.256 0.000
Sm: 0.256 0.093 0.000
Sm: 0.744 0.907 0.000
Sm: 0.907 0.744 0.000
Ho: 0.000 0.000 0.000
Ho: 0.111 0.666 0.000
Ho: 0.297 0.491 0.000
Ho: 0.334 0.889 0.000
Ho: 0.491 0.297 0.000
Ho: 0.509 0.703 0.000
Ho: 0.666 0.111 0.000
Ho: 0.703 0.509 0.000
Ho: 0.889 0.334 0.000
In: 0.091 0.460 0.500
In: 0.121 0.879 0.500
In: 0.301 0.301 0.500
In: 0.311 0.689 0.500
In: 0.460 0.091 0.500
In: 0.500 0.500 0.500
In: 0.540 0.909 0.500
In: 0.689 0.311 0.500
In: 0.699 0.699 0.500
In: 0.879 0.121 0.500
In: 0.909 0.540 0.500